No. 1
## LiGdY (PBE)

Data for a relaxed structure of LiGdY.

Cell: 7.164 7.164 7.164 Å, 90.00 90.00 90.00°
Space group F-43m (No. 216)
Asymmetric unit:
1 Li 0.000 0.000 0.000 x4
2 Gd 0.250 0.250 0.750 x4
3 Y 0.250 0.250 0.250 x4

Values from the calculation:
Calculated total energy (eV per atom): -3.832

***

No. 2
## LiGdZn (PBE)

Data for a relaxed structure of LiGdZn.

Cell: 6.631 6.631 6.631 Å, 90.00 90.00 90.00°
Space group F-43m (No. 216)
Asymmetric unit:
1 Li 0.000 0.000 0.000 x4
2 Gd 0.000 0.000 0.500 x4
3 Zn 0.250 0.250 0.750 x4

Values from the calculation:
Calculated total energy (eV per atom): -2.534

***

No. 3
## Gd2Lu (PBE)

Data for a relaxed structure of Gd2Lu.

Cell: 13.806 13.806 13.806 Å, 90.00 90.00 90.00°
Space group Fd-3m (No. 227, origin choice 2)
Asymmetric unit:
1 Gd 0.000 0.000 0.000 x16
2 Lu 0.125 0.125 0.125 x8

Values from the calculation:
DFT formation energy (eV/atom): 2.512